{"formula": "LaHfIr2Pb", "functional": "GGA-PBE", "state": "relaxed", "spacegroup": "P4/mmm (123)", "e_tot_ev_per_atom": -5.7708, "formation_enthalpy_0k_ev_per_atom": 1.49, "volume_a3_per_atom": 28.2, "cell": [[-0.239, -3.534, -3.541], [-3.156, -3.184, 3.391], [-4.138, 2.132, -1.848]], "species": ["Ir", "Ir", "Hf", "La", "Pb"], "frac_coords": [[0.000, 0.000, 0.500], [0.500, 0.000, 0.000], [0.500, 0.500, 0.500], [0.000, 0.500, 0.000], [0.000, 0.000, 0.000]]}

{"formula": "LaHfIr2Pd", "functional": "GGA-PBE", "state": "relaxed", "spacegroup": "P4/mmm (123)", "e_tot_ev_per_atom": -5.7985, "formation_enthalpy_0k_ev_per_atom": 1.76, "volume_a3_per_atom": 24.4, "cell": [[-3.387, 2.868, 1.925], [1.344, -1.611, 4.767], [3.220, 3.596, 0.308]], "species": ["Ir", "Ir", "Pd", "La", "Hf"], "frac_coords": [[0.000, 0.000, 0.500], [0.500, 0.000, 0.000], [0.500, 0.500, 0.500], [0.000, 0.000, 0.000], [0.000, 0.500, 0.000]]}

{"formula": "LaHfIr2Pt", "functional": "GGA-PBE", "state": "relaxed", "spacegroup": "P4/mmm (123)", "e_tot_ev_per_atom": -5.8825, "formation_enthalpy_0k_ev_per_atom": 1.85, "volume_a3_per_atom": 23.9, "cell": [[4.800, 0.000, 0.000], [0.000, 5.183, 0.000], [0.000, 0.000, 4.800]], "species": ["Pt", "Ir", "Hf", "La", "Ir"], "frac_coords": [[0.500, 0.500, 0.500], [0.000, 0.000, 0.500], [0.000, 0.500, 0.000], [0.000, 0.000, 0.000], [0.500, 0.000, 0.000]]}

{"formula": "LaHfIrS2", "functional": "GGA-PBE", "state": "relaxed", "spacegroup": "P4/mmm (123)", "e_tot_ev_per_atom": -5.7746, "volume_a3_per_atom": 27.7, "raw_formation_energy_ev_per_atom": 0.6247, "cell": [[5.235, 0.000, 0.000], [0.000, 5.049, 0.000], [0.000, 0.000, 5.235]], "species": ["La", "S", "S", "Hf", "Ir"], "frac_coords": [[0.000, 0.000, 0.000], [0.000, 0.000, 0.500], [0.500, 0.000, 0.000], [0.500, 0.500, 0.500], [0.000, 0.500, 0.000]]}

{"formula": "LaHfScIr2", "functional": "GGA-PBE", "state": "relaxed", "spacegroup": "I-4m2 (119)", "e_tot_ev_per_atom": -8.6080, "formation_enthalpy_0k_ev_per_atom": -0.82, "volume_a3_per_atom": 22.4, "cell": [[4.400, 0.000, 0.000], [0.000, 4.400, 0.000], [-2.200, -2.200, 5.786]], "species": ["Ir", "Ir", "Hf", "La", "Sc"], "frac_coords": [[0.615, 0.615, 0.231], [0.385, 0.385, 0.769], [0.750, 0.250, 0.500], [0.000, 0.000, 0.000], [0.250, 0.750, 0.500]]}

{"formula": "La2HfIrSe", "functional": "GGA-PBE", "state": "relaxed", "spacegroup": "P4/mmm (123)", "e_tot_ev_per_atom": -6.2550, "volume_a3_per_atom": 29.8, "raw_formation_energy_ev_per_atom": 0.1758, "cell": [[5.532, 0.000, 0.000], [0.000, 4.873, 0.000], [0.000, 0.000, 5.532]], "species": ["Hf", "La", "La", "Ir", "Se"], "frac_coords": [[0.500, 0.500, 0.500], [0.500, 0.000, 0.000], [0.000, 0.000, 0.500], [0.000, 0.000, 0.000], [0.000, 0.500, 0.000]]}

{"formula": "La2HfSi3Ir4", "functional": "GGA-PBE", "state": "relaxed", "spacegroup": "P-4m2 (115)", "e_tot_ev_per_atom": -8.1643, "volume_a3_per_atom": 18.7, "raw_formation_energy_ev_per_atom": -1.0121, "cell": [[4.184, 0.000, 0.000], [0.000, 4.184, 0.000], [0.000, 0.000, 10.707]], "species": ["Si", "Hf", "La", "Si", "Ir", "Ir", "Ir", "La", "Ir", "Si"], "frac_coords": [[0.500, 0.000, 0.880], [0.500, 0.500, 0.500], [0.000, 0.500, 0.761], [0.000, 0.000, 0.500], [0.000, 0.500, 0.352], [0.500, 0.500, 0.000], [0.000, 0.000, 0.000], [0.500, 0.000, 0.239], [0.500, 0.000, 0.648], [0.000, 0.500, 0.120]]}

{"formula": "LaHf2SnIr", "functional": "GGA-PBE", "state": "relaxed", "spacegroup": "P4/mmm (123)", "e_tot_ev_per_atom": -7.6633, "formation_enthalpy_0k_ev_per_atom": -0.12, "volume_a3_per_atom": 28.5, "cell": [[-0.137, 4.197, -2.863], [-2.987, -2.677, -3.783], [-4.269, 1.457, 2.340]], "species": ["Hf", "La", "Sn", "Hf", "Ir"], "frac_coords": [[0.000, 0.000, 0.500], [0.000, 0.500, 0.000], [0.500, 0.500, 0.500], [0.500, 0.000, 0.000], [0.000, 0.000, 0.000]]}